The following is a PBE calculation of a relaxed structure of TlAsPd2, from Alexandria via LeMat-Bulk.

Values from the calculation:
Symmetry: P1, No. 1
Energy of formation (eV/atom): -0.079

Unit cell a=4.9119 b=6.7020 c=6.7045 alpha=49.99 beta=83.76 gamma=83.72
With the nearest neighbours (Å) after each atom.
Fractional coordinates of all 8 atoms:
Pd  0.0407  0.9987  0.5283  2 As 2.52-2.72, 1 Pd 2.81
Pd  0.4604  0.8047  0.8927  2 As 2.50-2.60
Pd  0.0743  0.0117  0.0985  2 As 2.50-2.60
Pd  0.4954  0.3746  0.9057  2 As 2.52-2.72, 1 Pd 2.81
As  0.2674  0.2856  0.6183  2 As 2.57, 4 Pd 2.60-2.72
As  0.7674  0.1533  0.7500  4 Pd 2.50-2.52, 2 As 2.57
Tl  0.5698  0.8644  0.4078  7 Pd 2.82-3.02
Tl  0.9660  0.4965  0.0386  7 Pd 2.82-3.02